This record from Alexandria describes an optimized crystal structure of CsK2Fe3P4ClO14. The functional is GGA+U.

Cell: 9.414 9.830 9.445 Å, 73.84 69.77 89.60°
Positions (direct):
O1 0.466 0.308 0.128
O2 0.056 0.381 0.146
O3 0.840 0.874 0.422
O4 0.707 0.378 0.881
O5 0.670 0.807 0.243
O6 0.828 0.391 0.384
O7 0.996 0.807 0.591
O8 0.534 0.692 0.872
O9 0.034 0.692 0.372
O10 0.793 0.622 0.619
O11 0.293 0.622 0.119
O12 0.830 0.193 0.257
O13 0.660 0.126 0.078
O14 0.504 0.193 0.909
O15 0.004 0.193 0.409
O16 0.672 0.609 0.116
O17 0.444 0.619 0.354
O18 0.172 0.609 0.616
O19 0.340 0.874 0.922
O20 0.330 0.193 0.757
O21 0.160 0.126 0.578
O22 0.556 0.381 0.646
O23 0.496 0.807 0.091
O24 0.207 0.378 0.381
O25 0.328 0.391 0.884
O26 0.170 0.806 0.743
O27 0.944 0.619 0.854
O28 0.966 0.308 0.628
Cl1 0.000 0.000 0.000
Cl2 0.500 0.000 0.500
P1 0.423 0.295 0.794
P2 0.077 0.705 0.706
P3 0.923 0.295 0.294
P4 0.409 0.746 0.993
P5 0.591 0.254 0.007
P6 0.909 0.746 0.493
P7 0.091 0.254 0.507
P8 0.577 0.705 0.206
Fe1 0.280 0.411 0.112
Fe2 0.781 0.411 0.612
Fe3 0.719 0.589 0.888
Fe4 0.250 0.000 0.750
Fe5 0.750 0.000 0.250
Fe6 0.219 0.589 0.388
K1 0.030 0.330 0.883
K2 0.530 0.330 0.383
K3 0.970 0.670 0.117
K4 0.470 0.670 0.617
Cs1 0.750 0.000 0.750
Cs2 0.250 0.000 0.250

Its theoretical density is 3.2 g/cm³. The space group is P-1. Its total magnetic moment is 24.00 Bohr magnetons per cell. The calculation puts the total energy at -0.243 Ha/atom.